No. 1
The following is a PBE-GGA calculation of a relaxed Mg2CoPt2 crystal, from Alexandria.

Unit cell a=6.4607 b=6.4607 c=4.0404 alpha=90.00 beta=90.00 gamma=90.00
Sites, in units of the cell vectors:
Pt (0.6425, 0.1425, 0.0000)
Pt (0.8575, 0.6425, 0.0000)
Mg (0.1674, 0.6674, 0.5000)
Pt (0.1425, 0.3575, 0.0000)
Co (0.0000, 0.0000, 0.0000)
Mg (0.3326, 0.1674, 0.5000)
Pt (0.3575, 0.8575, 0.0000)
Co (0.5000, 0.5000, 0.0000)
Mg (0.8326, 0.3326, 0.5000)
Mg (0.6674, 0.8326, 0.5000)

Calculated values
V: 168.6 Å³ per cell
N(E_F): 5.7 states/eV per cell
formation energy from the elements: -422.8 meV/atom


No. 2
The following is a PBE-GGA calculation of a relaxed MgCoPt crystal, from Alexandria.

Unit cell a=4.2194 b=4.2194 c=4.2194 alpha=60.00 beta=60.00 gamma=60.00
Sites, in units of the cell vectors:
Pt (0.7500, 0.7500, 0.7500)
Mg (0.5000, 0.5000, 0.5000)
Co (0.0000, 0.0000, 0.0000)

Calculated values
V: 53.1 Å³ per cell
N(E_F): 3.7 states/eV per cell
formation energy from the elements: -29.9 meV/atom


No. 3
The following is a PBE-GGA calculation of a relaxed Mg2CoPt crystal, from Alexandria.

Unit cell a=5.1330 b=5.1330 c=4.6601 alpha=71.69 beta=71.69 gamma=32.50
Sites, in units of the cell vectors:
Co (0.2309, 0.2309, 0.2005)
Pt (0.5200, 0.5200, 0.5456)
Mg (0.9802, 0.9802, 0.0648)
Mg (0.7689, 0.7689, 0.6890)

Calculated values
V: 62.3 Å³ per cell
N(E_F): 1.8 states/eV per cell
formation energy from the elements: -310.7 meV/atom


No. 4
The following is a PBE-GGA calculation of a relaxed Mg3Co5Pt12 crystal, from Alexandria.

Unit cell a=12.4605 b=12.4605 c=12.4605 alpha=109.47 beta=109.47 gamma=109.47
Sites, in units of the cell vectors:
Pt (0.4101, 0.2761, 0.3331)
Mg (0.3750, 0.7500, 0.6250)
Co (0.8750, 0.2500, 0.6250)
Co (0.1250, 0.3750, 0.2500)
Pt (0.9430, 0.5770, 0.1669)
Pt (0.4230, 0.3660, 0.5899)
Pt (0.6669, 0.4430, 0.5770)
Mg (0.1250, 0.2500, 0.8750)
Pt (0.9230, 0.0899, 0.8660)
Co (0.1250, 0.7500, 0.3750)
Pt (0.6340, 0.5770, 0.9101)
Pt (0.3660, 0.9430, 0.7761)
Co (0.7500, 0.6250, 0.3750)
Pt (0.2239, 0.5570, 0.6340)
Pt (0.7761, 0.3331, 0.9101)
Mg (0.3750, 0.6250, 0.2500)
Co (0.3750, 0.1250, 0.7500)
Co (0.5000, 0.0000, 0.5000)
Pt (0.8660, 0.5899, 0.9230)
Pt (0.5899, 0.7239, 0.6669)
Mg (0.2500, 0.1250, 0.3750)
Pt (0.1340, 0.7239, 0.5570)
Co (0.5000, 0.5000, 0.0000)
Co (0.2500, 0.8750, 0.1250)
Pt (0.1340, 0.4101, 0.0770)
Pt (0.3331, 0.7761, 0.4101)
Pt (0.7239, 0.1340, 0.0570)
Co (0.6250, 0.7500, 0.8750)
Pt (0.7761, 0.4430, 0.3660)
Pt (0.4230, 0.0570, 0.3331)
Pt (0.8331, 0.9101, 0.2761)
Pt (0.9230, 0.8331, 0.5570)
Mg (0.8750, 0.1250, 0.2500)
Co (0.8750, 0.6250, 0.7500)
Co (0.3750, 0.2500, 0.1250)
Pt (0.4430, 0.6669, 0.0770)
Co (0.0000, 0.5000, 0.5000)
Co (0.0000, 0.0000, 0.0000)
Mg (0.2500, 0.6250, 0.8750)
Mg (0.1250, 0.8750, 0.7500)
Pt (0.5770, 0.9430, 0.6669)
Co (0.0000, 0.5000, 0.0000)
Mg (0.8750, 0.7500, 0.1250)
Pt (0.5570, 0.2239, 0.1340)
Pt (0.5770, 0.6340, 0.4101)
Pt (0.0770, 0.1669, 0.4430)
Pt (0.2761, 0.4101, 0.8331)
Co (0.2500, 0.3750, 0.6250)
Mg (0.6250, 0.2500, 0.3750)
Co (0.5000, 0.0000, 0.0000)
Pt (0.2761, 0.8660, 0.9430)
Pt (0.6340, 0.0570, 0.2239)
Pt (0.2239, 0.6669, 0.0899)
Pt (0.9101, 0.8331, 0.7761)
Pt (0.3660, 0.4230, 0.0899)
Pt (0.0770, 0.9101, 0.1340)
Pt (0.0899, 0.1669, 0.2239)
Pt (0.7239, 0.5899, 0.1669)
Co (0.7500, 0.1250, 0.8750)
Co (0.5000, 0.5000, 0.5000)
Pt (0.3331, 0.5570, 0.4230)
Pt (0.0570, 0.6340, 0.7239)
Pt (0.5570, 0.3331, 0.9230)
Pt (0.1669, 0.0770, 0.9430)
Pt (0.9430, 0.3660, 0.2761)
Pt (0.9101, 0.0770, 0.6340)
Co (0.6250, 0.8750, 0.2500)
Pt (0.4430, 0.7761, 0.8660)
Mg (0.7500, 0.3750, 0.1250)
Pt (0.0899, 0.9230, 0.3660)
Co (0.0000, 0.0000, 0.5000)
Pt (0.8331, 0.9230, 0.0570)
Mg (0.7500, 0.8750, 0.6250)
Pt (0.0570, 0.4230, 0.8331)
Pt (0.4101, 0.1340, 0.5770)
Pt (0.1669, 0.0899, 0.7239)
Pt (0.5899, 0.8660, 0.4230)
Pt (0.8660, 0.2761, 0.4430)
Mg (0.6250, 0.3750, 0.7500)
Pt (0.6669, 0.2239, 0.5899)

Calculated values
V: 1489.3 Å³ per cell
N(E_F): 80.5 states/eV per cell
formation energy from the elements: 356.2 meV/atom


No. 5
The following is a PBE-GGA calculation of a relaxed MgCo2Pt2 crystal, from Alexandria.

Unit cell a=3.4246 b=3.4246 c=6.9537 alpha=75.74 beta=75.74 gamma=90.00
Sites, in units of the cell vectors:
Pt (0.6033, 0.6033, 0.7934)
Mg (0.0000, 0.0000, 0.0000)
Pt (0.3967, 0.3967, 0.2066)
Co (0.7500, 0.2500, 0.5000)
Co (0.2500, 0.7500, 0.5000)

Calculated values
energy above the lowest structure with this stoichiometry: 0.058 eV/atom
V: 76.4 Å³ per cell
N(E_F): 3.6 states/eV per cell
formation energy from the elements: -125.4 meV/atom


No. 6
The following is a PBE-GGA calculation of a relaxed Mg2CoPt crystal, from Alexandria.

Unit cell a=4.4250 b=4.4250 c=4.4250 alpha=60.00 beta=60.00 gamma=60.00
Sites, in units of the cell vectors:
Mg (0.0000, 0.0000, 0.0000)
Mg (0.2500, 0.2500, 0.2500)
Co (0.5000, 0.5000, 0.5000)
Pt (0.7500, 0.7500, 0.7500)

Calculated values
V: 61.3 Å³ per cell
N(E_F): 6.5 states/eV per cell
formation energy from the elements: -229.0 meV/atom


No. 7
The following is a PBE-GGA calculation of a relaxed Mg2CoPt crystal, from Alexandria.

Unit cell a=5.3910 b=5.3910 c=5.3910 alpha=147.65 beta=131.26 gamma=59.72
Sites, in units of the cell vectors:
Mg (0.7355, 0.2355, 0.5000)
Co (0.2611, 0.7611, 0.5000)
Mg (0.0188, 0.0188, 0.0000)
Pt (0.4847, 0.4847, 0.0000)

Calculated values
V: 62.5 Å³ per cell
N(E_F): 3.7 states/eV per cell
formation energy from the elements: -271.2 meV/atom


No. 8
The following is a PBE-GGA calculation of a relaxed Mg2CoPt crystal, from Alexandria.

Unit cell a=4.5935 b=4.5935 c=5.0354 alpha=80.26 beta=80.26 gamma=36.21
Sites, in units of the cell vectors:
Mg (0.5001, 0.5001, 0.4973)
Co (0.2500, 0.2500, 0.2500)
Pt (0.7500, 0.7500, 0.7500)
Mg (0.9999, 0.9999, 0.0027)

Calculated values
V: 61.8 Å³ per cell
N(E_F): 3.0 states/eV per cell
formation energy from the elements: -181.3 meV/atom